Record 1
# Mg4Cd7In PBE-GGA optimized geometry
data_Mg4Cd7In
_chemical_formula_sum 'Mg8 Cd14 In2'
_cell_length_a 11.4980
_cell_length_b 5.4234
_cell_length_c 10.8833
_cell_angle_alpha 90.00
_cell_angle_beta 120.40
_cell_angle_gamma 90.00
_symmetry_space_group_name_H-M 'C 1 2/m 1'
_symmetry_Int_Tables_number 12
_symmetry_space_group_name_Hall '-C 2y'
loop_
_atom_site_label
_atom_site_type_symbol
_atom_site_fract_x
_atom_site_fract_y
_atom_site_fract_z
_atom_site_occupancy
Mg1 Mg 0.0832 0.0000 0.3100 1
Mg2 Mg 0.1637 0.5000 0.7676 1
Cd1 Cd 0.0000 0.0000 0.0000 1
Cd2 Cd 0.1200 0.5000 0.4672 1
Cd3 Cd 0.1733 0.0000 0.6293 1
Cd4 Cd 0.2079 0.0000 0.9172 1
In1 In 0.0000 0.5000 0.0000 1
# - energy above the lowest structure with this stoichiometry (eV per atom) = 0.089
# - DFT formation energy (kJ/mol of formula units) = 36
# - volume (Å³ per atom) = 24.39
# - DOS at the Fermi energy (states/eV/f.u.) = 3.7
# - magnetization (μB per cell) = 0.00

***

Record 2
# Mg8Cd2In3 PBE-GGA optimized geometry
data_Mg8Cd2In3
_chemical_formula_sum 'Mg16 Cd4 In6'
_cell_length_a 11.4802
_cell_length_b 10.5385
_cell_length_c 5.3593
_cell_angle_alpha 90.00
_cell_angle_beta 108.75
_cell_angle_gamma 90.00
_symmetry_space_group_name_H-M 'C 1 2/m 1'
_symmetry_Int_Tables_number 12
_symmetry_space_group_name_Hall '-C 2y'
loop_
_atom_site_label
_atom_site_type_symbol
_atom_site_fract_x
_atom_site_fract_y
_atom_site_fract_z
_atom_site_occupancy
Mg1 Mg 0.0724 0.0000 0.3001 1
Mg2 Mg 0.1499 0.5000 0.5702 1
Mg3 Mg 0.1701 0.2576 0.1741 1
Cd1 Cd 0.1988 0.0000 0.8795 1
In1 In 0.0000 0.2498 0.5000 1
In2 In 0.0000 0.5000 0.0000 1
# - energy above the lowest structure with this stoichiometry (eV per atom) = 0.000
# - DFT formation energy (kJ/mol of formula units) = -21
# - volume (Å³ per atom) = 23.61
# - DOS at the Fermi energy (states/eV/f.u.) = 4.7
# - magnetization (μB per cell) = 0.00

***

Q: Look up the magnetization of the second one.
A: 0.00 μB per cell

***

Q: The highest DFT formation energy belongs to which entry?
A: Mg4Cd7In

***

Q: Look up the volume of the first one.
A: 24.39 Å³ per atom